{
  "formula": "K2Sb",
  "functional": "PBE",
  "state": "optimized geometry",
  "dos_ef_per_ev_cell": 1.791,
  "space_group": "No. 71",
  "polymorph_energy_mev_per_atom": 80.6,
  "energy_ev_per_fu": -7.30,
  "magnetic_moment_mub_per_cell": 0.000,
  "cell": [[3.715, 0.000, 0.000], [0.000, 5.499, 0.000], [-1.858, -2.750, 5.394]],
  "species": ["Sb", "K", "K"],
  "fractional_positions": [[0.500, 0.000, 0.000], [0.845, 0.345, 0.689], [0.155, 0.655, 0.311]]
}

---

{
  "formula": "Pr2Dy3Tm6Pu",
  "functional": "PBE",
  "state": "optimized geometry",
  "delta_e_f_ev_per_atom": 0.05,
  "dos_ef_per_ev_cell": 24.153,
  "space_group": "No. 12",
  "energy_ev_per_fu": -63.92,
  "magnetic_moment_mub_per_cell": 6.236,
  "cell": [[-0.748, -0.169, -6.077], [5.309, -1.777, 2.485], [-5.478, -10.062, 1.986]],
  "species": ["Pr", "Dy", "Dy", "Dy", "Pu", "Tm", "Tm", "Tm", "Tm", "Tm", "Pr", "Tm"],
  "fractional_positions": [[0.333, 0.667, 0.000], [0.833, 0.167, 0.500], [0.167, 0.833, 0.500], [0.500, 0.500, 0.500], [0.000, 0.000, 0.000], [0.412, 0.083, 0.251], [0.755, 0.755, 0.251], [0.083, 0.412, 0.251], [0.917, 0.588, 0.749], [0.245, 0.245, 0.749], [0.667, 0.333, 0.000], [0.588, 0.917, 0.749]]
}

---

{
  "formula": "SnPd3Pt2",
  "functional": "PBE",
  "state": "optimized geometry",
  "delta_e_f_ev_per_atom": -0.21,
  "dos_ef_per_ev_cell": 8.161,
  "space_group": "No. 15",
  "polymorph_energy_mev_per_atom": 0.0,
  "energy_ev_per_fu": -32.94,
  "magnetic_moment_mub_per_cell": 0.000,
  "cell": [[-3.087, -1.025, -4.153], [3.986, -3.205, -1.291], [-2.939, -6.146, 2.582]],
  "species": ["Sn", "Pd", "Pd", "Pt", "Pt", "Pd", "Pd", "Pd", "Pd", "Pt", "Sn", "Pt"],
  "fractional_positions": [[0.094, 0.906, 0.750], [0.677, 0.840, 0.993], [0.840, 0.677, 0.493], [0.126, 0.619, 0.131], [0.619, 0.126, 0.631], [0.423, 0.577, 0.750], [0.577, 0.423, 0.250], [0.160, 0.323, 0.507], [0.323, 0.160, 0.007], [0.381, 0.874, 0.369], [0.906, 0.094, 0.250], [0.874, 0.381, 0.869]]
}